(1)
Density functional theory data (PBE) for Ac2NdP3Pd12 after structural relaxation.

Unit cell a=7.568 b=7.568 c=7.568 alpha=70.24 beta=70.24 gamma=70.24
Fractional positions:
Ac: 0.105 0.105 0.105
Ac: 0.895 0.895 0.895
Nd: 0.500 0.500 0.500
P: 0.000 0.500 0.500
P: 0.500 0.000 0.500
P: 0.500 0.500 0.000
Pd: 0.109 0.647 0.647
Pd: 0.209 0.209 0.630
Pd: 0.209 0.630 0.209
Pd: 0.353 0.353 0.891
Pd: 0.353 0.891 0.353
Pd: 0.370 0.791 0.791
Pd: 0.630 0.209 0.209
Pd: 0.647 0.109 0.647
Pd: 0.647 0.647 0.109
Pd: 0.791 0.370 0.791
Pd: 0.791 0.791 0.370
Pd: 0.891 0.353 0.353

For the magnetic moment, the calculation gives 0.0 μB per formula unit. The value obtained for the density is 8798 kg/m3. As for the space group: R-3m. For the final energy, the calculation gives -5.564 eV/atom.

=====

(2)
Density functional theory data (PBE) for AcPm2NdP4 after structural relaxation.

Unit cell a=7.315 b=4.223 c=7.315 alpha=90.00 beta=109.39 gamma=90.00
Fractional positions:
Ac: 0.000 0.000 0.000
Pm: 0.000 0.500 0.500
Pm: 0.500 0.000 0.500
Nd: 0.500 0.500 0.000
P: 0.254 0.000 0.743
P: 0.260 0.500 0.261
P: 0.740 0.500 0.739
P: 0.746 0.000 0.257

For the magnetic moment, the calculation gives 0.0 μB per formula unit. The value obtained for the density is 6117 kg/m3. As for the space group: P2/m. For the final energy, the calculation gives -6.510 eV/atom.

=====

(3)
Density functional theory data (PBE) for AcNdPPt after structural relaxation.

Unit cell a=5.229 b=5.229 c=5.229 alpha=60.00 beta=60.00 gamma=60.00
Fractional positions:
Ac: 0.000 0.000 0.000
Nd: 0.500 0.500 0.500
P: 0.250 0.250 0.250
Pt: 0.750 0.750 0.750

For the magnetic moment, the calculation gives 0.2 μB per formula unit. The value obtained for the density is 9812 kg/m3. As for the space group: F-43m. For the final energy, the calculation gives -6.026 eV/atom.

=====

(4)
Density functional theory data (PBE) for Ac2NdP3Pt12 after structural relaxation.

Unit cell a=7.959 b=7.959 c=7.959 alpha=63.39 beta=63.39 gamma=63.39
Fractional positions:
Ac: 0.103 0.103 0.103
Ac: 0.897 0.897 0.897
Nd: 0.500 0.500 0.500
P: 0.000 0.500 0.500
P: 0.500 0.000 0.500
P: 0.500 0.500 0.000
Pt: 0.091 0.638 0.638
Pt: 0.166 0.166 0.601
Pt: 0.166 0.601 0.166
Pt: 0.362 0.362 0.909
Pt: 0.362 0.909 0.362
Pt: 0.399 0.834 0.834
Pt: 0.601 0.166 0.166
Pt: 0.638 0.091 0.638
Pt: 0.638 0.638 0.091
Pt: 0.834 0.399 0.834
Pt: 0.834 0.834 0.399
Pt: 0.909 0.362 0.362

For the magnetic moment, the calculation gives 0.0 μB per formula unit. The value obtained for the density is 13137 kg/m3. As for the space group: R-3m. For the final energy, the calculation gives -6.134 eV/atom.

=====

(5)
Density functional theory data (PBE) for AcNd2PuP4 after structural relaxation.

Unit cell a=7.275 b=4.204 c=7.276 alpha=90.00 beta=109.42 gamma=90.00
Fractional positions:
Ac: 0.000 0.000 0.000
Nd: 0.000 0.500 0.500
Nd: 0.500 0.000 0.500
Pu: 0.500 0.500 0.000
P: 0.265 0.000 0.755
P: 0.265 0.500 0.255
P: 0.735 0.000 0.245
P: 0.735 0.500 0.745

For the magnetic moment, the calculation gives 4.9 μB per formula unit. The value obtained for the density is 6990 kg/m3. As for the space group: P2/m. For the final energy, the calculation gives -7.567 eV/atom.

=====

(6)
Density functional theory data (PBE) for AcNdPu2P4 after structural relaxation.

Unit cell a=7.180 b=4.153 c=7.190 alpha=90.00 beta=109.55 gamma=90.00
Fractional positions:
Ac: 0.000 0.000 0.000
Nd: 0.000 0.500 0.500
Pu: 0.500 0.000 0.500
Pu: 0.500 0.500 0.000
P: 0.270 0.000 0.750
P: 0.276 0.500 0.268
P: 0.724 0.500 0.732
P: 0.730 0.000 0.250

For the magnetic moment, the calculation gives 0.2 μB per formula unit. The value obtained for the density is 8080 kg/m3. As for the space group: P2/m. For the final energy, the calculation gives -8.649 eV/atom.

=====

(7)
Density functional theory data (PBE) for Ac2NdP3Rh12 after structural relaxation.

Unit cell a=7.290 b=7.290 c=7.290 alpha=71.81 beta=71.81 gamma=71.81
Fractional positions:
Ac: 0.105 0.105 0.105
Ac: 0.895 0.895 0.895
Nd: 0.500 0.500 0.500
P: 0.000 0.500 0.500
P: 0.500 0.000 0.500
P: 0.500 0.500 0.000
Rh: 0.115 0.648 0.648
Rh: 0.175 0.175 0.590
Rh: 0.175 0.590 0.175
Rh: 0.352 0.352 0.885
Rh: 0.352 0.885 0.352
Rh: 0.410 0.825 0.825
Rh: 0.590 0.175 0.175
Rh: 0.648 0.115 0.648
Rh: 0.648 0.648 0.115
Rh: 0.825 0.410 0.825
Rh: 0.825 0.825 0.410
Rh: 0.885 0.352 0.352

For the magnetic moment, the calculation gives 0.0 μB per formula unit. The value obtained for the density is 9418 kg/m3. As for the space group: R-3m. For the final energy, the calculation gives -6.804 eV/atom.

=====

(8)
Density functional theory data (PBE) for Ac2NdP3Rh4 after structural relaxation.

Unit cell a=4.160 b=4.160 c=11.570 alpha=90.00 beta=90.00 gamma=90.00
Fractional positions:
Ac: 0.000 0.500 0.228
Ac: 0.500 0.000 0.772
Nd: 0.000 0.000 0.500
P: 0.000 0.500 0.885
P: 0.500 0.000 0.115
P: 0.500 0.500 0.500
Rh: 0.000 0.000 0.000
Rh: 0.000 0.500 0.680
Rh: 0.500 0.000 0.320
Rh: 0.500 0.500 0.000

For the magnetic moment, the calculation gives 0.0 μB per formula unit. The value obtained for the density is 9147 kg/m3. As for the space group: P-4m2. For the final energy, the calculation gives -6.831 eV/atom.

=====

(9)
Density functional theory data (PBE) for AcNdP2S8 after structural relaxation.

Unit cell a=6.027 b=6.027 c=9.361 alpha=90.00 beta=90.00 gamma=120.00
Fractional positions:
Ac: 0.000 0.000 0.000
Nd: 0.000 0.000 0.500
P: 0.333 0.667 0.776
P: 0.667 0.333 0.224
S: 0.008 0.336 0.715
S: 0.328 0.992 0.715
S: 0.333 0.667 0.992
S: 0.336 0.328 0.285
S: 0.664 0.672 0.715
S: 0.667 0.333 0.008
S: 0.672 0.008 0.285
S: 0.992 0.664 0.285

For the magnetic moment, the calculation gives 0.0 μB per formula unit. The value obtained for the density is 3890 kg/m3. As for the space group: P-3. The uncorrected formation energy is -0.967 eV per atom.

=====

(10)
Density functional theory data (PBE) for Ac2NdSmP4 after structural relaxation.

Unit cell a=7.430 b=4.293 c=7.449 alpha=90.00 beta=109.39 gamma=90.00
Fractional positions:
Ac: 0.000 0.000 0.000
Ac: 0.500 0.500 0.000
Nd: 0.000 0.500 0.500
Sm: 0.500 0.000 0.500
P: 0.247 0.000 0.735
P: 0.257 0.500 0.266
P: 0.743 0.500 0.734
P: 0.753 0.000 0.265

For the magnetic moment, the calculation gives 0.0 μB per formula unit. The value obtained for the density is 6465 kg/m3. As for the space group: P2/m. For the final energy, the calculation gives -6.404 eV/atom.

=====

(11)
Density functional theory data (PBE) for Ac2TbNdP4 after structural relaxation.

Unit cell a=7.397 b=4.274 c=7.414 alpha=90.00 beta=109.40 gamma=90.00
Fractional positions:
Ac: 0.000 0.000 0.000
Ac: 0.500 0.500 0.000
Tb: 0.000 0.500 0.500
Nd: 0.500 0.000 0.500
P: 0.240 0.000 0.731
P: 0.252 0.500 0.267
P: 0.748 0.500 0.733
P: 0.760 0.000 0.269

For the magnetic moment, the calculation gives 0.0 μB per formula unit. The value obtained for the density is 6618 kg/m3. As for the space group: P2/m. For the final energy, the calculation gives -6.393 eV/atom.

=====

(12)
Density functional theory data (PBE) for AcTbNd2P4 after structural relaxation.

Unit cell a=7.289 b=4.210 c=7.290 alpha=90.00 beta=109.36 gamma=90.00
Fractional positions:
Ac: 0.000 0.000 0.000
Tb: 0.000 0.500 0.500
Nd: 0.500 0.000 0.500
Nd: 0.500 0.500 0.000
P: 0.249 0.000 0.740
P: 0.257 0.500 0.263
P: 0.743 0.500 0.737
P: 0.751 0.000 0.260

For the magnetic moment, the calculation gives 0.0 μB per formula unit. The value obtained for the density is 6281 kg/m3. As for the space group: P2/m. For the final energy, the calculation gives -6.486 eV/atom.

=====

(13)
Density functional theory data (PBE) for AcNdTeP after structural relaxation.

Unit cell a=8.165 b=8.165 c=8.165 alpha=30.80 beta=30.80 gamma=30.80
Fractional positions:
Ac: 0.000 0.000 0.000
Nd: 0.192 0.192 0.192
Te: 0.433 0.433 0.433
P: 0.593 0.593 0.593

For the magnetic moment, the calculation gives 0.0 μB per formula unit. The value obtained for the density is 6951 kg/m3. As for the space group: R3m. The uncorrected formation energy is -1.506 eV per atom.

=====

(14)
Density functional theory data (PBE) for Ac4NdTh3P8 after structural relaxation.

Unit cell a=8.604 b=8.604 c=8.604 alpha=59.57 beta=59.57 gamma=59.57
Fractional positions:
Ac: 0.000 0.000 0.000
Ac: 0.000 0.500 0.500
Ac: 0.500 0.000 0.500
Ac: 0.500 0.500 0.000
Nd: 0.500 0.500 0.500
Th: 0.000 0.000 0.500
Th: 0.000 0.500 0.000
Th: 0.500 0.000 0.000
P: 0.240 0.745 0.745
P: 0.243 0.243 0.243
P: 0.255 0.255 0.760
P: 0.255 0.760 0.255
P: 0.745 0.240 0.745
P: 0.745 0.745 0.240
P: 0.757 0.757 0.757
P: 0.760 0.255 0.255

For the magnetic moment, the calculation gives 0.0 μB per formula unit. The value obtained for the density is 7431 kg/m3. As for the space group: R-3m. For the final energy, the calculation gives -6.936 eV/atom.

=====

(15)
Density functional theory data (PBE) for Ac3NdTh2P6 after structural relaxation.

Unit cell a=7.411 b=7.411 c=7.464 alpha=99.51 beta=99.51 gamma=120.03
Fractional positions:
Ac: 0.000 0.000 0.000
Ac: 0.334 0.666 0.000
Ac: 0.666 0.334 0.000
Nd: 0.500 0.500 0.500
Th: 0.167 0.833 0.500
Th: 0.833 0.167 0.500
P: 0.086 0.423 0.269
P: 0.239 0.239 0.730
P: 0.423 0.086 0.269
P: 0.577 0.914 0.731
P: 0.761 0.761 0.270
P: 0.914 0.577 0.731

For the magnetic moment, the calculation gives 0.0 μB per formula unit. The value obtained for the density is 7314 kg/m3. As for the space group: C2/m. For the final energy, the calculation gives -6.883 eV/atom.

=====

(16)
Density functional theory data (PBE) for Ac2NdThP4 after structural relaxation.

Unit cell a=7.411 b=4.285 c=7.470 alpha=90.00 beta=109.30 gamma=90.00
Fractional positions:
Ac: 0.000 0.000 0.000
Ac: 0.500 0.500 0.000
Nd: 0.000 0.500 0.500
Th: 0.500 0.000 0.500
P: 0.248 0.000 0.733
P: 0.259 0.500 0.269
P: 0.741 0.500 0.731
P: 0.752 0.000 0.267

For the magnetic moment, the calculation gives 0.0 μB per formula unit. The value obtained for the density is 7077 kg/m3. As for the space group: P2/m. For the final energy, the calculation gives -6.770 eV/atom.

=====

(17)
Density functional theory data (PBE) for AcNd2TmP4 after structural relaxation.

Unit cell a=7.257 b=4.193 c=7.260 alpha=90.00 beta=109.34 gamma=90.00
Fractional positions:
Ac: 0.000 0.000 0.000
Nd: 0.000 0.500 0.500
Nd: 0.500 0.000 0.500
Tm: 0.500 0.500 0.000
P: 0.263 0.000 0.754
P: 0.264 0.500 0.255
P: 0.736 0.500 0.745
P: 0.737 0.000 0.246

For the magnetic moment, the calculation gives 0.0 μB per formula unit. The value obtained for the density is 6440 kg/m3. As for the space group: P2/m. For the final energy, the calculation gives -6.448 eV/atom.

=====

(18)
Density functional theory data (PBE) for AcNdY2P4 after structural relaxation.

Unit cell a=7.212 b=4.165 c=7.217 alpha=90.00 beta=109.42 gamma=90.00
Fractional positions:
Ac: 0.000 0.000 0.000
Nd: 0.000 0.500 0.500
Y: 0.500 0.000 0.500
Y: 0.500 0.500 0.000
P: 0.263 0.000 0.748
P: 0.268 0.500 0.262
P: 0.732 0.500 0.738
P: 0.737 0.000 0.252

For the magnetic moment, the calculation gives 0.0 μB per formula unit. The value obtained for the density is 5465 kg/m3. As for the space group: P2/m. For the final energy, the calculation gives -6.959 eV/atom.

=====

(19)
Density functional theory data (PBE) for AcNd2YP4 after structural relaxation.

Unit cell a=7.284 b=4.208 c=7.285 alpha=90.00 beta=109.36 gamma=90.00
Fractional positions:
Ac: 0.000 0.000 0.000
Nd: 0.000 0.500 0.500
Nd: 0.500 0.000 0.500
Y: 0.500 0.500 0.000
P: 0.260 0.000 0.751
P: 0.263 0.500 0.256
P: 0.737 0.500 0.744
P: 0.740 0.000 0.249

For the magnetic moment, the calculation gives 0.0 μB per formula unit. The value obtained for the density is 5741 kg/m3. As for the space group: P2/m. For the final energy, the calculation gives -6.718 eV/atom.

=====

(20)
Density functional theory data (PBE) for AcNd2Pa after structural relaxation.

Unit cell a=12.952 b=12.952 c=12.952 alpha=15.54 beta=15.54 gamma=15.54
Fractional positions:
Ac: 0.000 0.000 0.000
Nd: 0.415 0.415 0.415
Nd: 0.585 0.585 0.585
Pa: 0.500 0.500 0.500

For the magnetic moment, the calculation gives 0.0 μB per formula unit. The value obtained for the density is 9118 kg/m3. As for the space group: R-3m. For the final energy, the calculation gives -5.350 eV/atom.